! GGA+U CrBPtF2, relaxed; values from VASP
&SYSTEM
  ibrav = 0, nat = 5, ntyp = 4
/
ATOMIC_SPECIES
F 19.00 F.upf
B 10.81 B.upf
Cr 52.00 Cr.upf
Pt 195.08 Pt.upf
ATOMIC_POSITIONS crystal
F 0.000 0.000 0.500
B 0.000 0.500 0.000
Cr 0.000 0.000 0.000
F 0.500 0.000 0.000
Pt 0.500 0.500 0.500
CELL_PARAMETERS angstrom
-1.717 2.557 1.802
-0.877 -3.627 4.311
3.080 1.021 1.486
! VASP energy, eV for the cell shown: -24.17
! N(E_F), states/eV/cell: 5.02
! M_tot, μB/atom: 0.252